1.
# TiInTeMo2, optimized geometry, DFT GGA-PBE
# Fermi-level density of states	9.3	states/eV/f.u.
# raw formation energy	8.980	eV per formula unit
# crystal system	tetragonal
# magnetic moment	0.2482	μB/atom
data_TiInTeMo2
_cell_length_a 4.978
_cell_length_b 4.978
_cell_length_c 4.937
_cell_angle_alpha 90.00
_cell_angle_beta 90.00
_cell_angle_gamma 90.00
_space_group_name_H-M_alt 'P 4/m m m'
_space_group_IT_number 123
_space_group_name_Hall '-P 4 2'
loop_
_atom_site_label
_atom_site_type_symbol
_atom_site_fract_x
_atom_site_fract_y
_atom_site_fract_z
Ti1 Ti 0.000 0.000 0.000
In1 In 0.000 0.000 0.500
Te1 Te 0.500 0.500 0.000
Mo1 Mo 0.000 0.500 0.500


2.
# CdNiCl, optimized geometry, DFT GGA-PBE
# Fermi-level density of states	0.6	states/eV/f.u.
# raw formation energy	0.646	eV per formula unit
# ΔE to the lowest computed polymorph	276	meV per atom
# crystal system	cubic
# magnetic moment	0.0000	μB/atom
data_CdNiCl
_cell_length_a 6.206
_cell_length_b 6.206
_cell_length_c 6.206
_cell_angle_alpha 90.00
_cell_angle_beta 90.00
_cell_angle_gamma 90.00
_space_group_name_H-M_alt 'F -4 3 m'
_space_group_IT_number 216
_space_group_name_Hall 'F -4 2 3'
loop_
_atom_site_label
_atom_site_type_symbol
_atom_site_fract_x
_atom_site_fract_y
_atom_site_fract_z
Cd1 Cd 0.000 0.000 0.000
Ni1 Ni 0.250 0.250 0.750
Cl1 Cl 0.000 0.000 0.500


3.
# BaPb3Br8, optimized geometry, DFT GGA-PBE
# Fermi-level density of states	0.0	states/eV/f.u.
# raw formation energy	-14.623	eV per formula unit
# crystal system	monoclinic
# magnetic moment	0.0000	μB/atom
data_BaPb3Br8
_cell_length_a 14.173
_cell_length_b 9.281
_cell_length_c 8.485
_cell_angle_alpha 90.00
_cell_angle_beta 118.67
_cell_angle_gamma 90.00
_space_group_name_H-M_alt 'C 1 2/m 1'
_space_group_IT_number 12
loop_
_space_group_symop_operation_xyz
'x,y,z'
'-x,-y,-z'
'-x,y,-z'
'x,-y,z'
'x+1/2,y+1/2,z'
'-x+1/2,-y+1/2,-z'
'-x+1/2,y+1/2,-z'
'x+1/2,-y+1/2,z'
loop_
_atom_site_label
_atom_site_type_symbol
_atom_site_fract_x
_atom_site_fract_y
_atom_site_fract_z
Ba1 Ba 0.000 0.000 0.000
Pb1 Pb 0.000 0.500 0.000
Pb2 Pb 0.250 0.250 0.500
Br1 Br 0.005 0.262 0.256
Br2 Br 0.243 0.500 0.732
Br3 Br 0.249 0.500 0.252


Look up the magnetic moment of the third one.
0.0000 μB/atom


The lowest Fermi-level density of states belongs to which entry?
BaPb3Br8


What is the raw formation energy in the first record?
8.980 eV per formula unit


The highest magnetic moment belongs to which entry?
TiInTeMo2